[1]
TeMoPd3: optimized geometry, GGA-PBEsol.

Output
DFT total energy = -5.555 eV/atom
Formation energy without anion corrections = 1079 meV per atom
Energy relative to the lowest polymorph listed for this composition = 21 meV per atom

abc: 4.740 4.740 4.740
angles: 90.00 90.00 90.00
Space group Pm-3m (No. 221)
One atom of each set of equivalent atoms:
Te  0.000  0.000  0.000 (multiplicity 1)
Mo  0.500  0.500  0.500 (multiplicity 1)
Pd  0.000  0.500  0.500 (multiplicity 3)

=====

[2]
Te2MoPd: optimized geometry, GGA-PBEsol.

Output
DFT total energy = -5.582 eV/atom
Formation energy without anion corrections = 612 meV per atom
Energy relative to the lowest polymorph listed for this composition = 548 meV per atom

abc: 3.2882 3.2882 27.3708
angles: 90.00 90.00 120.00
Space group R-3m (No. 166, hexagonal axes)
One atom of each set of equivalent atoms:
Te  0.0000  0.0000  0.0940 (multiplicity 6)
Mo  0.0000  0.0000  0.0000 (multiplicity 3)
Pd  0.0000  0.0000  0.5000 (multiplicity 3)